Tc3PbC: PBEsol geometry, SCAN.

Geometry as extended XYZ:
```
5
Lattice="-0.163 -2.234 4.506 0.845 -4.456 -2.179 4.958 0.686 0.519" Properties=species:S:1:pos:R:3 pbc="T T T"
Tc -0.081 -1.117 2.253
C 2.820 -3.002 1.423
Tc 0.423 -2.228 -1.090
Pb 0.000 0.000 0.000
Tc 2.479 0.343 0.260
```

DFT total energy = -34.53 eV/atom
DOS(E_F) = 6.1 states/eV/cell
Space group = Pm-3m, No. 221
ΔH_f (0 K) = 3.677 eV/atom

ZrSc2Si2: PBEsol geometry, SCAN.

Geometry as extended XYZ:
```
10
Lattice="3.681 0.000 0.000 0.000 7.079 0.000 0.000 0.000 7.079" Properties=species:S:1:pos:R:3 pbc="T T T"
Si 0.000 6.208 4.410
Si 0.000 2.669 6.208
Zr 0.000 0.000 0.000
Sc 1.841 1.238 4.778
Si 0.000 0.870 2.669
Sc 1.841 4.778 5.840
Sc 1.841 5.840 2.301
Sc 1.841 2.301 1.238
Zr 0.000 3.539 3.539
Si 0.000 4.410 0.870
```

DFT total energy = -16.58 eV/atom
DOS(E_F) = 9.4 states/eV/cell
ΔE_f (raw) = -736 meV/atom
Space group = P4/mbm, No. 127

LiSnO2F: PBEsol geometry, SCAN.

Geometry as extended XYZ:
```
5
Lattice="3.377 0.000 0.000 0.000 3.724 0.000 0.000 0.000 3.724" Properties=species:S:1:pos:R:3 pbc="T T T"
Li 0.000 0.000 0.000
F 1.689 0.000 0.000
O 0.000 0.000 1.862
Sn 1.689 1.862 1.862
O 0.000 1.862 0.000
```

DFT total energy = -12.10 eV/atom
DOS(E_F) = 1.7 states/eV/cell
ΔE_f (raw) = -1236 meV/atom
Space group = P4/mmm, No. 123

Mn6PbO12: PBEsol geometry, SCAN.

Geometry as extended XYZ:
```
38
Lattice="7.910 -0.104 -0.084 -3.289 7.194 0.084 -2.533 -3.399 6.905" Properties=species:S:1:pos:R:3 pbc="T T T"
Mn 5.130 1.707 1.195
Mn -1.238 4.184 1.293
O 4.995 3.479 1.819
O -0.294 3.563 2.762
Mn -1.906 -0.432 3.642
O 3.945 2.479 4.138
O 3.455 1.115 1.819
O -1.177 2.459 0.429
O -2.445 4.965 4.227
O -0.301 0.196 4.495
Mn 3.993 4.123 3.264
Mn 3.325 -0.494 5.612
O 1.230 2.549 4.523
Mn 1.175 4.285 3.665
O 6.074 -2.259 4.439
O -3.987 5.950 2.467
O 2.381 0.128 4.144
O -3.098 3.711 6.560
O 2.388 3.494 2.410
O 0.354 4.820 0.430
O 5.185 -0.021 0.345
O 0.856 1.141 2.383
Pb 3.329 5.109 0.000
O -1.368 2.575 5.087
Pb 1.291 1.981 0.000
O -1.858 1.211 2.767
O 3.444 -2.244 4.982
Mn 2.461 1.772 3.264
Mn 0.912 -0.594 3.240
Mn -1.495 4.351 5.696
O 3.263 1.231 6.476
O 4.532 -1.274 2.678
Mn -3.043 1.983 5.710
Mn -0.374 1.919 3.642
Mn 3.582 -0.661 1.209
O -1.357 5.935 1.923
O 1.733 -1.129 6.475
O -2.908 0.211 5.087
```

DFT total energy = -15.76 eV/atom
DOS(E_F) = 14.7 states/eV/cell
ΔE_f (raw) = -2069 meV/atom
Space group = C2/m, No. 12